No. 1
First-principles (PBEsol) data for crystalline PtS2NF at its relaxed geometry, as listed in the Alexandria database.

Values from the calculation:
**Excess energy over the best structure of this formula in the dataset**: 0 meV/atom
**Formation energy (no corrections)**: 0.807 eV/atom

Cell: 4.890 4.890 3.624 Å, 90.00 90.00 90.00°
Space group P4/mmm (No. 123)
Symmetry-distinct sites (fractional):
Pt1 0.000 0.000 0.000
S1 0.000 0.500 0.000
N1 0.000 0.000 0.500
F1 0.500 0.500 0.500

=====

No. 2
First-principles (PBEsol) data for crystalline PtS2NF at its relaxed geometry, as listed in the Alexandria database.

Values from the calculation:
**Excess energy over the best structure of this formula in the dataset**: 832 meV/atom
**Formation energy (no corrections)**: 1.640 eV/atom

Cell: 4.366 4.366 3.603 Å, 90.00 90.00 90.00°
Space group P4/mmm (No. 123)
Symmetry-distinct sites (fractional):
Pt1 0.000 0.000 0.000
S1 0.000 0.500 0.500
N1 0.500 0.500 0.000
F1 0.500 0.500 0.500

=====

No. 3
First-principles (PBEsol) data for crystalline ScPtN2F at its relaxed geometry, as listed in the Alexandria database.

Values from the calculation:
**Formation energy (no corrections)**: 0.190 eV/atom

Cell: 4.163 4.163 3.756 Å, 90.00 90.00 90.00°
Space group P4/mmm (No. 123)
Symmetry-distinct sites (fractional):
Sc1 0.000 0.000 0.000
Pt1 0.500 0.500 0.500
N1 0.000 0.500 0.000
F1 0.000 0.000 0.500

=====

No. 4
First-principles (PBEsol) data for crystalline ScPtNF2 at its relaxed geometry, as listed in the Alexandria database.

Values from the calculation:
**Excess energy over the best structure of this formula in the dataset**: 543 meV/atom
**Formation energy (no corrections)**: -0.554 eV/atom

Cell: 4.491 4.491 3.665 Å, 90.00 90.00 90.00°
Space group P4/mmm (No. 123)
Symmetry-distinct sites (fractional):
Sc1 0.000 0.000 0.000
Pt1 0.500 0.500 0.500
N1 0.500 0.500 0.000
F1 0.000 0.500 0.500

=====

No. 5
First-principles (PBEsol) data for crystalline ScPtNF2 at its relaxed geometry, as listed in the Alexandria database.

Values from the calculation:
**Excess energy over the best structure of this formula in the dataset**: 0 meV/atom
**Formation energy (no corrections)**: -1.098 eV/atom

Cell: 3.811 3.811 4.577 Å, 90.00 90.00 90.00°
Space group P4/mmm (No. 123)
Symmetry-distinct sites (fractional):
Sc1 0.000 0.000 0.000
Pt1 0.500 0.500 0.500
N1 0.000 0.000 0.500
F1 0.000 0.500 0.000

=====

No. 6
First-principles (PBEsol) data for crystalline TcPtNF2 at its relaxed geometry, as listed in the Alexandria database.

Values from the calculation:
**Formation energy (no corrections)**: 0.047 eV/atom

Cell: 3.992 3.992 3.818 Å, 90.00 90.00 90.00°
Space group P4/mmm (No. 123)
Symmetry-distinct sites (fractional):
Tc1 0.000 0.000 0.000
Pt1 0.500 0.500 0.500
N1 0.000 0.000 0.500
F1 0.000 0.500 0.000

=====

Looking at uncorrected energy for the records above, in order, we have -4.4300; -3.5976; -6.3195; -5.7444; -6.2879; -6.0749 eV per atom.